First-principles (PBE) data for a relaxed structure of SbW2Cl, as listed in Alexandria via LeMat-Bulk.

Values from the calculation:
Formation energy (no corrections) ... 3.509 eV per formula unit
Distance to the lowest polymorph of the same formula ... 3.33 eV/f.u.
Crystal system ... monoclinic

abc: 8.796 3.009 5.401
angles: 90.00 101.64 90.00
Space group C2/m (No. 12)
One atom of each set of equivalent atoms:
Sb 0.000 0.000 0.000 (multiplicity 2)
W 0.248 0.000 0.734 (multiplicity 4)
Cl 0.000 0.500 0.500 (multiplicity 2)